1.
DFT (GGA-PBE) results for a relaxed structure of LaNd2I.

Cell: 3.7503 3.7503 9.8449 Å, 90.00 90.00 90.00°
Positions (direct):
La: 0.0000 0.0000 0.0000
Nd: 0.5000 0.5000 0.2612
Nd: 0.5000 0.5000 0.7388
I: 0.0000 0.0000 0.5000

Output
Its symmetry is P4/mmm (123). For the energy, the calculation gives -4.3492 eV per atom. The value obtained for the relative energy among the computed polymorphs is 0.31 eV/f.u. As for the crystal system: tetragonal. The value obtained for the uncorrected formation energy is -0.35 eV/atom. Its total moment is 0.00 μB per formula unit. As for the theoretical density: 6.6 g/cm3.

***

2.
DFT (GGA-PBE) results for a relaxed structure of LaNdI6.

Cell: 8.2358 8.2358 7.7854 Å, 98.16 98.16 123.56°
Positions (direct):
La: 0.0000 0.0000 0.0000
Nd: 0.5000 0.5000 0.5000
I: 0.1039 0.4031 0.2542
I: 0.2523 0.2523 0.7493
I: 0.4031 0.1039 0.2542
I: 0.5969 0.8961 0.7458
I: 0.7477 0.7477 0.2507
I: 0.8961 0.5969 0.7458

Output
Its symmetry is C2/m (12). For the energy, the calculation gives -3.8036 eV per atom. The value obtained for the relative energy among the computed polymorphs is 0.00 eV/f.u. As for the crystal system: monoclinic. The value obtained for the uncorrected formation energy is -1.43 eV/atom. Its total moment is 0.00 μB per formula unit. As for the theoretical density: 4.1 g/cm3.

***

3.
DFT (GGA-PBE) results for a relaxed structure of LaNdI.

Cell: 3.9689 3.9689 8.0014 Å, 90.00 90.00 120.00°
Positions (direct):
La: 0.0000 0.0000 0.0000
Nd: 0.3333 0.6667 0.6399
I: 0.6667 0.3333 0.3276

Output
Its symmetry is P3m1 (156). For the energy, the calculation gives -4.3155 eV per atom. The value obtained for the relative energy among the computed polymorphs is 0.00 eV/f.u. As for the crystal system: trigonal. The value obtained for the uncorrected formation energy is -0.57 eV/atom. Its total moment is 0.55 μB per formula unit. As for the theoretical density: 6.2 g/cm3.